No. 1
# MgTlAg2

A PBEsol-optimized structure of MgTlAg2 (meta-GGA SCAN, Alexandria via LeMat-Bulk).

Structure (POSCAR):
```
MgTlAg2
1.0
-2.671 -1.323 -1.079
-2.164 -1.095 2.042
-5.733 7.461 0.387
Ag Tl Mg
2 1 1
direct
0.749 0.749 0.752
0.005 0.005 0.985
0.252 0.252 0.243
0.493 0.493 0.521
```

SG: No. 160

---

No. 2
# MgTlAg2

A PBEsol-optimized structure of MgTlAg2 (meta-GGA SCAN, Alexandria via LeMat-Bulk).

Structure (POSCAR):
```
MgTlAg2
1.0
4.776 0.000 0.000
2.388 4.136 0.000
2.388 1.379 3.899
Mg Ag Tl
1 2 1
direct
0.500 0.500 0.500
0.000 0.000 0.000
0.750 0.750 0.750
0.250 0.250 0.250
```

SG: No. 216

---

No. 3
# Mg4TlAg

A PBEsol-optimized structure of Mg4TlAg (meta-GGA SCAN, Alexandria via LeMat-Bulk).

Structure (POSCAR):
```
Mg4TlAg
1.0
-3.167 -3.624 -3.106
1.252 -5.589 -0.037
-3.474 -3.730 2.613
Mg Tl Ag
4 1 1
direct
0.375 0.375 0.375
0.876 0.375 0.375
0.375 0.375 0.876
0.375 0.876 0.375
0.750 0.750 0.750
0.000 0.000 0.000
```

SG: No. 216

---

Calculated formation energy? In order: 34.4; -22.5; 119.8 meV/atom.